{"formula": "Sm2MgAl4Zn3", "functional": "PBE", "state": "relaxed", "lattice": [[4.242, 0.000, 0.000], [0.000, 4.242, 0.000], [0.000, 0.000, 11.074]], "species": ["Sm", "Sm", "Mg", "Al", "Al", "Al", "Al", "Zn", "Zn", "Zn"], "frac_coords": [[0.000, 0.500, 0.242], [0.500, 0.000, 0.758], [0.000, 0.000, 0.500], [0.000, 0.000, 0.000], [0.000, 0.500, 0.647], [0.500, 0.000, 0.353], [0.500, 0.500, 0.000], [0.000, 0.500, 0.867], [0.500, 0.000, 0.133], [0.500, 0.500, 0.500]], "delta_e_f_ev_per_fu": -3.55, "crystal_system": "tetragonal", "dft_energy_ev_per_fu": -33.4}